A plane-wave DFT calculation with PBE+U was carried out for an optimized crystal structure of Li3TiCr3O8.

Cell: 5.911 5.944 5.939 Å, 119.32 90.00 119.82°
Sites, in units of the cell vectors:
O1 0.763 0.020 0.784
O2 0.257 0.020 0.784
O3 0.743 0.980 0.216
O4 0.237 0.980 0.216
O5 0.237 0.475 0.225
O6 0.733 0.467 0.214
O7 0.267 0.533 0.786
O8 0.763 0.525 0.775
Cr1 0.000 0.500 0.000
Cr2 0.500 0.500 0.000
Cr3 0.500 0.000 0.000
Li1 0.500 0.500 0.500
Li2 0.500 0.000 0.500
Li3 0.000 0.500 0.500
Ti1 0.000 0.000 0.000

Total magnetization (μB/cell): 9.00
Excess energy over the best structure of this formula in the dataset (meV per atom): 6
Raw total energy (eV for the cell shown): -109.127